1.
A relaxed Hf4Th crystal. Source: Alexandria via LeMat-Bulk, functional GGA-PBE.

Computed properties:
Density of states at the Fermi level in states/eV/atom: 1.39
Calculated formation energy in kcal/mol of atoms: 38.19

abc: 5.2195 5.2195 5.2195
angles: 90.00 90.00 90.00
With the nearest neighbours (Å) after each atom.
Positions (direct):
Hf  0.0000  0.0000  0.0000  12 Hf 3.69
Hf  0.5000  0.5000  0.0000  2 Th 2.61
Hf  0.0000  0.5000  0.5000  2 Th 2.61
Hf  0.5000  0.0000  0.5000  2 Th 2.61
Th  0.5000  0.5000  0.5000  6 Hf 2.61

---

2.
A relaxed Ac2La2Tb3 crystal. Source: Alexandria via LeMat-Bulk, functional GGA-PBE.

Computed properties:
Density of states at the Fermi level in states/eV/atom: 1.43
Calculated formation energy in kcal/mol of atoms: 3.82

abc: 13.0800 9.0929 9.5543
angles: 90.00 90.00 152.45
With the nearest neighbours (Å) after each atom.
Positions (direct):
Tb  0.7372  0.3505  0.6681  2 Tb 3.51-3.64, 4 Ac 3.53-3.64, 3 La 3.73-3.77
Tb  0.0000  0.0000  0.5000  4 Tb 3.51-3.64, 4 La 3.68-3.76, 2 Ac 3.76
Tb  0.2372  0.3505  0.8319  2 Tb 3.51-3.64, 4 Ac 3.53-3.64, 3 La 3.73-3.77
Tb  0.7628  0.6495  0.1681  2 Tb 3.51-3.64, 4 Ac 3.53-3.64, 3 La 3.73-3.77
Tb  0.5000  0.0000  0.0000  4 Tb 3.51-3.64, 4 La 3.68-3.76, 2 Ac 3.76
Tb  0.2628  0.6495  0.3319  2 Tb 3.51-3.64, 4 Ac 3.53-3.64, 3 La 3.73-3.77
Ac  0.1364  0.5732  0.6829  5 Tb 3.53-3.76, 4 La 3.57-3.80
Ac  0.3636  0.4268  0.1829  5 Tb 3.53-3.76, 4 La 3.57-3.80
Ac  0.6364  0.5732  0.8171  5 Tb 3.53-3.76, 4 La 3.57-3.80
Ac  0.8636  0.4268  0.3171  5 Tb 3.53-3.76, 4 La 3.57-3.80
La  0.8813  0.1720  0.0198  1 La 3.54, 4 Ac 3.57-3.80, 5 Tb 3.68-3.77
La  0.1187  0.8280  0.9802  1 La 3.54, 4 Ac 3.57-3.80, 5 Tb 3.68-3.77
La  0.3813  0.1720  0.4802  1 La 3.54, 4 Ac 3.57-3.80, 5 Tb 3.68-3.77
La  0.6187  0.8280  0.5198  1 La 3.54, 4 Ac 3.57-3.80, 5 Tb 3.68-3.77